MgAlCuIr: optimized geometry, GGA-PBE.

distance to the lowest polymorph of the same formula	0.0	kJ/mol of formula units
crystal system	cubic

Cell lengths 4.329, 4.329, 4.329 Å; angles 60.00, 60.00, 60.00 degrees
Element x y z (fractional)
Mg (0.000, 0.000, 0.000)
Al (0.500, 0.500, 0.500)
Cu (0.750, 0.750, 0.750)
Ir (0.250, 0.250, 0.250)


Y3Mg3AlCuIr: optimized geometry, GGA-PBE.

crystal system	hexagonal

Cell lengths 7.636, 7.636, 3.927 Å; angles 90.00, 90.00, 120.00 degrees
Element x y z (fractional)
Y (0.092, 0.734, 0.000)
Y (0.266, 0.358, 0.000)
Y (0.642, 0.908, 0.000)
Mg (0.423, 0.090, 0.500)
Mg (0.667, 0.577, 0.500)
Mg (0.910, 0.333, 0.500)
Al (0.000, 0.000, 0.500)
Cu (0.667, 0.333, 0.000)
Ir (0.333, 0.667, 0.500)


AlCuMoIr: optimized geometry, GGA-PBE.

distance to the lowest polymorph of the same formula	0.0	kJ/mol of formula units
crystal system	cubic

Cell lengths 4.320, 4.320, 4.320 Å; angles 60.00, 60.00, 60.00 degrees
Element x y z (fractional)
Al (0.000, 0.000, 0.000)
Cu (0.250, 0.250, 0.250)
Mo (0.500, 0.500, 0.500)
Ir (0.750, 0.750, 0.750)


| no. | DFT total energy (eV per atom) |
| --- | --- |
| 1 | -4.93 |
| 2 | -4.90 |
| 3 | -6.98 |